[1]
The following is a DFT calculation (GGA-PBE) of a relaxed structure of PuInAg2.

abc: 3.1464 3.1464 8.8193
angles: 90.00 90.00 90.00
Element x y z (fractional)
In1 0.5000 0.5000 0.0000
Ag1 0.0000 0.0000 0.7684
Ag2 0.0000 0.0000 0.2316
Pu1 0.5000 0.5000 0.5000

Results
formation energy	41	meV per atom
ρ	10.9	g/cm3
Fermi-level density of states	1.956	states/eV per atom



[2]
The following is a DFT calculation (GGA-PBE) of a relaxed structure of ZrB2F8.

abc: 5.5076 5.7381 5.7381
angles: 57.28 75.38 75.38
Element x y z (fractional)
Zr1 0.0000 0.0000 0.0000
B1 0.6756 0.8110 0.8110
B2 0.3244 0.1890 0.1890
F1 0.2374 0.3329 0.9219
F2 0.7626 0.0781 0.6671
F3 0.4029 0.8528 0.8528
F4 0.5971 0.1472 0.1472
F5 0.2374 0.9219 0.3329
F6 0.7626 0.6671 0.0781
F7 0.7656 0.6692 0.6692
F8 0.2344 0.3308 0.3308

Results
E_form (uncorrected)	-2.678	eV/atom
ρ	3.0	g/cm3
Fermi-level density of states	0.058	states/eV per atom



[3]
The following is a DFT calculation (GGA-PBE) of a relaxed structure of La2ZnSn4Pd3.

abc: 4.5992 4.5992 10.9576
angles: 90.00 90.00 90.00
Element x y z (fractional)
La1 0.5000 0.0000 0.2562
La2 0.0000 0.5000 0.7438
Zn1 0.5000 0.5000 0.5000
Sn1 0.5000 0.5000 0.0000
Sn2 0.0000 0.0000 0.0000
Sn3 0.5000 0.0000 0.6318
Sn4 0.0000 0.5000 0.3682
Pd1 0.0000 0.0000 0.5000
Pd2 0.5000 0.0000 0.8711
Pd3 0.0000 0.5000 0.1289

Results
formation energy	-747	meV per atom
ρ	8.1	g/cm3
Fermi-level density of states	0.482	states/eV per atom